VASP calculation (GGA-PBE) on a relaxed NaNbN2 crystal.

Structure (POSCAR):
```
NaNbN2
1.0
-3.078 0.371 -0.512
-1.376 -1.455 -2.421
-2.612 -4.989 2.444
Nb N Na
1 2 1
Direct
0.668 0.668 0.996 Nb
0.271 0.271 0.187 N
0.065 0.065 0.804 N
0.496 0.496 0.513 Na
```

Properties
ΔE_f (raw) ... -0.675 eV/atom
Volume ... 12.54 Å³ per atom

=====

VASP calculation (GGA-PBE) on a relaxed NaNbN crystal.

Structure (POSCAR):
```
NaNbN
1.0
3.162 -0.104 -0.371
1.703 2.690 0.069
-0.209 1.769 11.542
Nb Na N
2 2 2
Direct
0.779 0.054 0.111 Nb
0.221 0.946 0.889 Nb
0.307 0.529 0.646 Na
0.693 0.471 0.354 Na
0.795 0.706 0.799 N
0.205 0.294 0.201 N
```

Properties
ΔE_f (raw) ... -0.491 eV/atom
Volume ... 16.42 Å³ per atom

=====

VASP calculation (GGA-PBE) on a relaxed Na2NbN2 crystal.

Structure (POSCAR):
```
Na2NbN2
1.0
0.720 1.804 -5.585
-2.788 0.802 5.153
5.392 4.645 2.195
Na N Nb
4 4 2
Direct
0.651 0.349 0.077 Na
0.349 0.651 0.923 Na
0.349 0.651 0.577 Na
0.651 0.349 0.423 Na
0.319 0.681 0.250 N
0.681 0.319 0.750 N
0.000 0.000 0.000 N
0.000 0.000 0.500 N
0.925 0.075 0.250 Nb
0.075 0.925 0.750 Nb
```

Properties
ΔE_f (raw) ... -0.391 eV/atom
Volume ... 14.17 Å³ per atom

=====

VASP calculation (GGA-PBE) on a relaxed Na3NbN2 crystal.

Structure (POSCAR):
```
Na3NbN2
1.0
-5.415 5.561 -6.998
3.763 -2.031 -4.525
-3.102 -5.765 -2.180
Na Nb N
12 4 8
Direct
0.477 0.710 0.826 Na
0.977 0.290 0.674 Na
0.513 0.209 0.694 Na
0.747 0.447 0.384 Na
0.023 0.710 0.326 Na
0.247 0.553 0.116 Na
0.987 0.209 0.194 Na
0.523 0.290 0.174 Na
0.487 0.791 0.306 Na
0.013 0.791 0.806 Na
0.753 0.447 0.884 Na
0.253 0.553 0.616 Na
0.741 0.912 0.029 Nb
0.759 0.912 0.529 Nb
0.259 0.088 0.971 Nb
0.241 0.088 0.471 Nb
0.138 0.341 0.412 N
0.752 0.084 0.242 N
0.252 0.916 0.258 N
0.248 0.916 0.758 N
0.362 0.341 0.912 N
0.748 0.084 0.742 N
0.638 0.659 0.088 N
0.862 0.659 0.588 N
```

Properties
ΔE_f (raw) ... -0.302 eV/atom
Volume ... 18.20 Å³ per atom

=====

VASP calculation (GGA-PBE) on a relaxed Na2Nb2N crystal.

Structure (POSCAR):
```
Na2Nb2N
1.0
-1.540 5.492 -0.337
-2.104 -0.911 -5.234
-5.345 -1.353 2.384
Na N Nb
4 2 4
Direct
0.175 0.675 0.500 Na
0.325 0.175 0.500 Na
0.675 0.825 0.500 Na
0.825 0.325 0.500 Na
0.000 0.000 0.000 N
0.500 0.500 0.000 N
0.329 0.829 0.000 Nb
0.171 0.329 0.000 Nb
0.671 0.171 0.000 Nb
0.829 0.671 0.000 Nb
```

Properties
ΔE_f (raw) ... 0.086 eV/atom
Volume ... 19.61 Å³ per atom

=====

VASP calculation (GGA-PBE) on a relaxed Na2Nb2N crystal.

Structure (POSCAR):
```
Na2Nb2N
1.0
-0.683 2.952 -0.654
-1.457 -0.909 -2.581
-8.174 0.320 2.638
N Na Nb
1 2 2
Direct
0.000 0.000 0.000 N
0.750 0.250 0.500 Na
0.250 0.750 0.500 Na
0.576 0.576 0.847 Nb
0.424 0.424 0.153 Nb
```

Properties
ΔE_f (raw) ... 1.094 eV/atom
Volume ... 15.97 Å³ per atom

=====

VASP calculation (GGA-PBE) on a relaxed NaNbN2 crystal.

Structure (POSCAR):
```
NaNbN2
1.0
-1.656 -3.672 3.964
10.736 -1.104 3.462
-2.074 12.020 10.267
N Nb Na
32 16 16
Direct
0.584 0.416 0.398 N
0.954 0.983 0.205 N
0.854 0.187 0.335 N
0.084 0.084 0.602 N
0.954 0.517 0.705 N
0.546 0.017 0.705 N
0.546 0.483 0.205 N
0.992 0.677 0.494 N
0.008 0.177 0.006 N
0.492 0.677 0.006 N
0.454 0.983 0.295 N
0.008 0.323 0.506 N
0.416 0.916 0.102 N
0.146 0.813 0.665 N
0.992 0.823 0.994 N
0.508 0.177 0.494 N
0.046 0.017 0.795 N
0.416 0.584 0.602 N
0.354 0.313 0.665 N
0.584 0.084 0.898 N
0.454 0.517 0.795 N
0.492 0.823 0.506 N
0.084 0.416 0.102 N
0.916 0.584 0.898 N
0.646 0.813 0.835 N
0.146 0.687 0.165 N
0.646 0.687 0.335 N
0.354 0.187 0.165 N
0.046 0.483 0.295 N
0.916 0.916 0.398 N
0.508 0.323 0.994 N
0.854 0.313 0.835 N
0.292 0.480 0.690 Nb
0.258 0.728 0.566 Nb
0.258 0.772 0.066 Nb
0.242 0.228 0.566 Nb
0.242 0.272 0.066 Nb
0.742 0.228 0.934 Nb
0.208 0.520 0.190 Nb
0.792 0.020 0.310 Nb
0.292 0.020 0.190 Nb
0.792 0.480 0.810 Nb
0.742 0.272 0.434 Nb
0.758 0.728 0.934 Nb
0.708 0.980 0.810 Nb
0.708 0.520 0.310 Nb
0.208 0.980 0.690 Nb
0.758 0.772 0.434 Nb
0.250 0.720 0.811 Na
0.250 0.780 0.311 Na
0.215 0.498 0.441 Na
0.285 0.998 0.441 Na
0.750 0.780 0.189 Na
0.715 0.002 0.559 Na
0.715 0.498 0.059 Na
0.285 0.502 0.941 Na
0.750 0.280 0.189 Na
0.785 0.502 0.559 Na
0.250 0.280 0.311 Na
0.215 0.002 0.941 Na
0.785 0.998 0.059 Na
0.250 0.220 0.811 Na
0.750 0.720 0.689 Na
0.750 0.220 0.689 Na
```

Properties
ΔE_f (raw) ... -0.737 eV/atom
Volume ... 15.96 Å³ per atom

=====

VASP calculation (GGA-PBE) on a relaxed NaNbN2 crystal.

Structure (POSCAR):
```
NaNbN2
1.0
0.000 2.730 2.730
2.730 0.000 2.730
2.730 2.730 0.000
Na N Nb
1 2 1
Direct
0.000 0.000 0.000 Na
0.750 0.750 0.750 N
0.250 0.250 0.250 N
0.500 0.500 0.500 Nb
```

Properties
ΔE_f (raw) ... 0.323 eV/atom
Volume ... 10.17 Å³ per atom

=====

VASP calculation (GGA-PBE) on a relaxed NaNb6N8 crystal.

Structure (POSCAR):
```
NaNb6N8
1.0
-3.034 -0.628 0.406
0.066 -4.773 -6.890
1.705 -3.399 7.469
N Na Nb
8 1 6
Direct
0.251 0.685 0.641 N
0.749 0.315 0.359 N
0.749 0.044 0.685 N
0.251 0.359 0.044 N
0.749 0.641 0.956 N
0.251 0.956 0.315 N
0.749 0.667 0.333 N
0.251 0.333 0.667 N
0.500 0.000 0.000 Na
0.751 0.331 0.863 Nb
0.751 0.532 0.669 Nb
0.249 0.468 0.331 Nb
0.249 0.863 0.532 Nb
0.751 0.137 0.468 Nb
0.249 0.669 0.137 Nb
```

Properties
ΔE_f (raw) ... -0.808 eV/atom
Volume ... 12.67 Å³ per atom

=====

VASP calculation (GGA-PBE) on a relaxed Na3Np2NbN6 crystal.

Structure (POSCAR):
```
Na3Np2NbN6
1.0
5.814 -0.002 0.002
-2.907 5.035 0.002
-0.967 -1.675 5.688
N Np Na Nb
6 2 3 1
Direct
0.611 0.938 0.812 N
0.264 0.264 0.812 N
0.736 0.736 0.188 N
0.938 0.611 0.812 N
0.389 0.062 0.188 N
0.062 0.389 0.188 N
0.667 0.333 0.000 Np
0.333 0.667 0.000 Np
0.839 0.161 0.500 Na
0.161 0.839 0.500 Na
0.500 0.500 0.500 Na
0.000 0.000 0.000 Nb
```

Properties
ΔE_f (raw) ... -0.817 eV/atom
Volume ... 13.88 Å³ per atom

=====

VASP calculation (GGA-PBE) on a relaxed Na4NpNb3N8 crystal.

Structure (POSCAR):
```
Na4NpNb3N8
1.0
6.446 0.000 0.000
0.000 6.801 0.242
-3.223 -3.217 4.563
Na N Nb Np
4 8 3 1
Direct
0.000 0.000 0.000 Na
0.000 0.000 0.500 Na
0.500 0.000 0.000 Na
0.500 0.000 0.500 Na
0.731 0.694 0.463 N
0.767 0.308 0.041 N
0.767 0.308 0.534 N
0.233 0.692 0.959 N
0.727 0.692 0.959 N
0.273 0.308 0.041 N
0.233 0.692 0.466 N
0.269 0.306 0.537 N
0.000 0.500 0.500 Nb
0.500 0.500 0.000 Nb
0.500 0.500 0.500 Nb
0.000 0.500 0.000 Np
```

Properties
ΔE_f (raw) ... -0.761 eV/atom
Volume ... 12.82 Å³ per atom

=====

VASP calculation (GGA-PBE) on a relaxed Na2NpNbN4 crystal.

Structure (POSCAR):
```
Na2NpNbN4
1.0
3.317 0.000 0.000
0.000 5.676 0.126
0.000 -1.959 5.657
N Nb Np Na
4 1 1 2
Direct
0.500 0.773 0.811 N
0.000 0.261 0.809 N
0.000 0.739 0.191 N
0.500 0.227 0.189 N
0.000 0.000 0.000 Nb
0.500 0.500 0.000 Np
0.500 0.000 0.500 Na
0.000 0.500 0.500 Na
```

Properties
ΔE_f (raw) ... -0.795 eV/atom
Volume ... 13.41 Å³ per atom